Compound: Y6Si2GeS3
Source: the Alexandria database
Functional: PBE-GGA
Structure: relaxed

Lattice parameters (Å, degrees): 9.0641 9.0641 8.1145 103.67 103.67 25.76
With the nearest neighbours (Å) after each atom.
Fractional positions:
Y  0.9996  0.9996  0.2496  1 Si 2.85, 3 S 2.86, 2 Ge 2.86
Y  0.0004  0.0004  0.7504  1 Si 2.85, 3 S 2.86, 2 Ge 2.86
Y  0.3328  0.3328  0.4140  2 Si 2.85, 3 S 2.85-2.88, 1 Ge 2.87
Y  0.3327  0.3327  0.9186  3 Si 2.85, 3 S 2.87-2.88
Y  0.6673  0.6673  0.0814  3 Si 2.85, 3 S 2.87-2.88
Y  0.6672  0.6672  0.5860  2 Si 2.85, 3 S 2.85-2.88, 1 Ge 2.87
Si  0.1666  0.1666  0.8333  6 Y 2.85
Si  0.8334  0.8334  0.1667  6 Y 2.85
Ge  0.5000  0.5000  0.5000  6 Y 2.86-2.87
S  0.1666  0.1666  0.3333  6 Y 2.85-2.88
S  0.5000  0.5000  0.0000  6 Y 2.86-2.87
S  0.8334  0.8334  0.6667  6 Y 2.85-2.88

ΔE_f (raw) ... -1419.6 meV/atom
Space group ... C2/m, No. 12
Final energy ... -83.7 eV/cell